Computed, not measured: a geometry-optimized V2ZnO structure at the PBE with a Hubbard U level of DFT. Values from VASP.

The structure in Quantum ESPRESSO input format:
```
&SYSTEM
  ibrav = 0, nat = 4, ntyp = 3
/
ATOMIC_SPECIES
V 50.94 V.upf
Zn 65.41 Zn.upf
O 16.00 O.upf
ATOMIC_POSITIONS crystal
V 0.750 0.750 0.750
V 0.250 0.250 0.250
Zn 0.500 0.500 0.500
O 0.000 0.000 0.000
CELL_PARAMETERS angstrom
0.000 3.088 3.088
3.088 0.000 3.088
3.088 3.088 0.000
```

Energy (eV/cell): -18.33